First-principles (SCAN) data for a crystal of Bi2BO5 relaxed with PBEsol, as listed in Alexandria via LeMat-Bulk.

Lattice parameters (Å, degrees): 7.361 7.361 5.464 90.00 90.00 43.15
Sites, in units of the cell vectors:
Bi 0.071 0.614 0.500
Bi 0.386 0.929 0.500
Bi 0.614 0.071 0.000
Bi 0.929 0.386 0.000
B 0.306 0.694 0.938
B 0.694 0.306 0.438
O 0.097 0.726 0.923
O 0.258 0.260 0.735
O 0.260 0.258 0.235
O 0.274 0.903 0.923
O 0.437 0.563 0.458
O 0.563 0.437 0.958
O 0.726 0.097 0.423
O 0.740 0.742 0.735
O 0.742 0.740 0.235
O 0.903 0.274 0.423

Results
Raw formation energy   -12.06 eV per formula unit
Total magnetization   0.0 Bohr magnetons per cell
E_tot   -25.976 eV/atom

***

First-principles (SCAN) data for a crystal of Al2Ni3 relaxed with PBEsol, as listed in Alexandria via LeMat-Bulk.

Lattice parameters (Å, degrees): 2.876 2.876 13.792 90.00 90.00 90.00
Sites, in units of the cell vectors:
Al 0.000 0.000 0.103
Al 0.000 0.000 0.310
Al 0.000 0.000 0.690
Al 0.000 0.000 0.897
Ni 0.000 0.000 0.500
Ni 0.500 0.500 0.000
Ni 0.500 0.500 0.205
Ni 0.500 0.500 0.405
Ni 0.500 0.500 0.595
Ni 0.500 0.500 0.795

Results
Energy of formation   -0.60 eV/atom
Total magnetization   0.6 Bohr magnetons per cell
E_tot   -13.407 eV/atom

***

First-principles (SCAN) data for a crystal of RbAl2InHg relaxed with PBEsol, as listed in Alexandria via LeMat-Bulk.

Lattice parameters (Å, degrees): 5.378 5.378 5.748 90.00 90.00 90.00
Sites, in units of the cell vectors:
Rb 0.000 0.000 0.000
Al 0.000 0.500 0.500
Al 0.500 0.000 0.500
In 0.500 0.500 0.500
Hg 0.500 0.500 0.000

Results
Energy of formation   0.41 eV/atom
Total magnetization   0.0 Bohr magnetons per cell
E_tot   -27.151 eV/atom

***

First-principles (SCAN) data for a crystal of CaCu3I relaxed with PBEsol, as listed in Alexandria via LeMat-Bulk.

Lattice parameters (Å, degrees): 4.939 4.939 4.939 90.00 90.00 90.00
Sites, in units of the cell vectors:
Ca 0.000 0.000 0.000
Cu 0.000 0.500 0.500
Cu 0.500 0.000 0.500
Cu 0.500 0.500 0.000
I 0.500 0.500 0.500

Results
Raw formation energy   4.20 eV per formula unit
Total magnetization   0.0 Bohr magnetons per cell
E_tot   -17.560 eV/atom

***

First-principles (SCAN) data for a crystal of LiGaHgRh2 relaxed with PBEsol, as listed in Alexandria via LeMat-Bulk.

Lattice parameters (Å, degrees): 4.994 4.994 4.786 90.00 90.00 90.00
Sites, in units of the cell vectors:
Li 0.000 0.000 0.000
Ga 0.500 0.500 0.000
Hg 0.500 0.500 0.500
Rh 0.000 0.500 0.500
Rh 0.500 0.000 0.500

Results
Energy of formation   1.15 eV/atom
Polymorph energy (0 for the lowest one)   314 kJ/mol of formula units
Total magnetization   0.0 Bohr magnetons per cell
E_tot   -29.743 eV/atom

***

First-principles (SCAN) data for a crystal of CrCd2Ag relaxed with PBEsol, as listed in Alexandria via LeMat-Bulk.

Lattice parameters (Å, degrees): 3.047 3.047 7.619 90.00 90.00 90.00
Sites, in units of the cell vectors:
Cr 0.000 0.000 0.000
Cd 0.500 0.500 0.245
Cd 0.500 0.500 0.755
Ag 0.000 0.000 0.500

Results
Energy of formation   0.08 eV/atom
Total magnetization   3.9 Bohr magnetons per cell
E_tot   -27.569 eV/atom

***

First-principles (SCAN) data for a crystal of NiPtRh2 relaxed with PBEsol, as listed in Alexandria via LeMat-Bulk.

Lattice parameters (Å, degrees): 2.654 4.475 4.523 90.00 90.00 90.00
Sites, in units of the cell vectors:
Ni 0.000 0.000 0.000
Pt 0.500 0.500 0.000
Rh 0.000 0.500 0.500
Rh 0.500 0.000 0.500

Results
Energy of formation   0.13 eV/atom
Total magnetization   1.3 Bohr magnetons per cell
E_tot   -38.350 eV/atom

***

First-principles (SCAN) data for a crystal of CaHf2MnTl relaxed with PBEsol, as listed in Alexandria via LeMat-Bulk.

Lattice parameters (Å, degrees): 4.898 4.898 5.382 90.00 90.00 90.00
Sites, in units of the cell vectors:
Ca 0.000 0.000 0.000
Hf 0.000 0.500 0.000
Hf 0.500 0.000 0.000
Mn 0.500 0.500 0.500
Tl 0.000 0.000 0.500

Results
Energy of formation   1.71 eV/atom
Total magnetization   4.8 Bohr magnetons per cell
E_tot   -43.418 eV/atom

***

First-principles (SCAN) data for a crystal of Mg3MoPt relaxed with PBEsol, as listed in Alexandria via LeMat-Bulk.

Lattice parameters (Å, degrees): 4.940 4.940 4.940 90.00 90.00 90.00
Sites, in units of the cell vectors:
Mg 0.000 0.000 0.500
Mg 0.000 0.500 0.000
Mg 0.500 0.000 0.000
Mo 0.000 0.000 0.000
Pt 0.500 0.500 0.500

Results
Energy of formation   1.46 eV/atom
Polymorph energy (0 for the lowest one)   549 kJ/mol of formula units
Total magnetization   2.9 Bohr magnetons per cell
E_tot   -22.535 eV/atom

***

First-principles (SCAN) data for a crystal of SiAsBr2O relaxed with PBEsol, as listed in Alexandria via LeMat-Bulk.

Lattice parameters (Å, degrees): 4.765 4.765 4.213 90.00 90.00 90.00
Sites, in units of the cell vectors:
Si 0.000 0.000 0.000
As 0.500 0.500 0.000
Br 0.000 0.500 0.500
Br 0.500 0.000 0.500
O 0.500 0.500 0.500

Results
Raw formation energy   3.97 eV per formula unit
Total magnetization   0.0 Bohr magnetons per cell
E_tot   -14.278 eV/atom

***

First-principles (SCAN) data for a crystal of ScSi2Pb relaxed with PBEsol, as listed in Alexandria via LeMat-Bulk.

Lattice parameters (Å, degrees): 3.955 4.458 8.693 90.00 90.00 90.00
Sites, in units of the cell vectors:
Sc 0.000 0.000 0.000
Sc 0.500 0.500 0.500
Si 0.000 0.500 0.255
Si 0.000 0.500 0.745
Si 0.500 0.000 0.245
Si 0.500 0.000 0.755
Pb 0.000 0.000 0.500
Pb 0.500 0.500 0.000

Results
Raw formation energy   0.39 eV per formula unit
Total magnetization   0.0 Bohr magnetons per cell
E_tot   -27.416 eV/atom

***

First-principles (SCAN) data for a crystal of Cu4Rh3 relaxed with PBEsol, as listed in Alexandria via LeMat-Bulk.

Lattice parameters (Å, degrees): 2.660 2.660 24.461 90.00 90.00 90.00
Sites, in units of the cell vectors:
Cu 0.000 0.000 0.072
Cu 0.000 0.000 0.361
Cu 0.000 0.000 0.639
Cu 0.000 0.000 0.928
Cu 0.500 0.500 0.139
Cu 0.500 0.500 0.428
Cu 0.500 0.500 0.572
Cu 0.500 0.500 0.861
Rh 0.000 0.000 0.213
Rh 0.000 0.000 0.500
Rh 0.000 0.000 0.787
Rh 0.500 0.500 0.000
Rh 0.500 0.500 0.287
Rh 0.500 0.500 0.713

Results
Energy of formation   0.05 eV/atom
Total magnetization   0.0 Bohr magnetons per cell
E_tot   -23.104 eV/atom

***

First-principles (SCAN) data for a crystal of BeAs2Ir relaxed with PBEsol, as listed in Alexandria via LeMat-Bulk.

Lattice parameters (Å, degrees): 5.390 5.390 10.265 90.00 90.00 90.00
Sites, in units of the cell vectors:
Be 0.000 0.000 0.000
Be 0.000 0.500 0.250
Be 0.500 0.000 0.750
Be 0.500 0.500 0.500
As 0.228 0.250 0.125
As 0.250 0.728 0.375
As 0.250 0.772 0.875
As 0.272 0.250 0.625
As 0.728 0.750 0.625
As 0.750 0.228 0.875
As 0.750 0.272 0.375
As 0.772 0.750 0.125
Ir 0.000 0.000 0.500
Ir 0.000 0.500 0.750
Ir 0.500 0.000 0.250
Ir 0.500 0.500 0.000

Results
Energy of formation   -0.02 eV/atom
Total magnetization   0.0 Bohr magnetons per cell
E_tot   -28.979 eV/atom

***

First-principles (SCAN) data for a crystal of BaLi2Sc relaxed with PBEsol, as listed in Alexandria via LeMat-Bulk.

Lattice parameters (Å, degrees): 10.852 3.421 6.341 90.00 97.77 90.00
Sites, in units of the cell vectors:
Ba 0.000 0.000 0.000
Ba 0.500 0.500 0.000
Li 0.241 0.000 0.692
Li 0.259 0.500 0.308
Li 0.741 0.500 0.692
Li 0.759 0.000 0.308
Sc 0.000 0.500 0.500
Sc 0.500 0.000 0.500

Results
Energy of formation   0.32 eV/atom
Polymorph energy (0 for the lowest one)   4 kJ/mol of formula units
Total magnetization   1.5 Bohr magnetons per cell
E_tot   -14.321 eV/atom

***

First-principles (SCAN) data for a crystal of Mg2Tl relaxed with PBEsol, as listed in Alexandria via LeMat-Bulk.

Lattice parameters (Å, degrees): 5.910 5.910 5.910 60.00 60.00 60.00
Sites, in units of the cell vectors:
Mg 0.000 0.000 0.000
Mg 0.000 0.000 0.500
Mg 0.000 0.500 0.000
Mg 0.500 0.000 0.000
Tl 0.375 0.375 0.375
Tl 0.625 0.625 0.625

Results
Energy of formation   0.04 eV/atom
Total magnetization   0.0 Bohr magnetons per cell
E_tot   -27.397 eV/atom

***

First-principles (SCAN) data for a crystal of Sc3Si3Ni2 relaxed with PBEsol, as listed in Alexandria via LeMat-Bulk.

Lattice parameters (Å, degrees): 5.181 5.181 12.973 90.00 90.00 135.32
Sites, in units of the cell vectors:
Sc 0.082 0.918 0.612
Sc 0.082 0.918 0.888
Sc 0.361 0.639 0.750
Sc 0.639 0.361 0.250
Sc 0.918 0.082 0.112
Sc 0.918 0.082 0.388
Si 0.341 0.659 0.250
Si 0.382 0.618 0.539
Si 0.382 0.618 0.961
Si 0.618 0.382 0.039
Si 0.618 0.382 0.461
Si 0.659 0.341 0.750
Ni 0.209 0.791 0.096
Ni 0.209 0.791 0.404
Ni 0.791 0.209 0.596
Ni 0.791 0.209 0.904

Results
Raw formation energy   -7.34 eV per formula unit
Total magnetization   0.0 Bohr magnetons per cell
E_tot   -14.055 eV/atom

***

First-principles (SCAN) data for a crystal of Na3Sc2P3O12 relaxed with PBEsol, as listed in Alexandria via LeMat-Bulk.

Lattice parameters (Å, degrees): 8.938 8.938 9.002 120.21 120.21 60.31
Sites, in units of the cell vectors:
Na 0.000 0.500 0.500
Na 0.106 0.248 0.112
Na 0.248 0.106 0.612
Na 0.500 0.000 0.000
Na 0.752 0.894 0.388
Na 0.894 0.752 0.888
Sc 0.156 0.642 0.353
Sc 0.358 0.844 0.147
Sc 0.642 0.156 0.853
Sc 0.844 0.358 0.647
P 0.046 0.954 0.750
P 0.250 0.444 0.961
P 0.444 0.250 0.461
P 0.556 0.750 0.539
P 0.750 0.556 0.039
P 0.954 0.046 0.250
O 0.016 0.121 0.715
O 0.064 0.779 0.581
O 0.089 0.433 0.776
O 0.121 0.016 0.215
O 0.197 0.458 0.107
O 0.221 0.936 0.919
O 0.266 0.412 0.429
O 0.291 0.618 0.021
O 0.382 0.709 0.479
O 0.412 0.266 0.929
O 0.433 0.089 0.276
O 0.458 0.197 0.607
O 0.542 0.803 0.393
O 0.567 0.911 0.724
O 0.588 0.734 0.071
O 0.618 0.291 0.521
O 0.709 0.382 0.979
O 0.734 0.588 0.571
O 0.779 0.064 0.081
O 0.803 0.542 0.893
O 0.879 0.984 0.785
O 0.911 0.567 0.224
O 0.936 0.221 0.419
O 0.984 0.879 0.285

Results
Polymorph energy (0 for the lowest one)   2 kJ/mol of formula units
Raw formation energy   -58.69 eV per formula unit
Total magnetization   0.0 Bohr magnetons per cell
E_tot   -10.289 eV/atom

***

First-principles (SCAN) data for a crystal of Sn2HgPdS relaxed with PBEsol, as listed in Alexandria via LeMat-Bulk.

Lattice parameters (Å, degrees): 5.056 5.056 5.048 90.00 90.00 90.00
Sites, in units of the cell vectors:
Sn 0.000 0.500 0.000
Sn 0.500 0.000 0.000
Hg 0.000 0.000 0.500
Pd 0.000 0.000 0.000
S 0.500 0.500 0.500

Results
Raw formation energy   0.41 eV per formula unit
Total magnetization   0.0 Bohr magnetons per cell
E_tot   -36.401 eV/atom

***

First-principles (SCAN) data for a crystal of LaYW2 relaxed with PBEsol, as listed in Alexandria via LeMat-Bulk.

Lattice parameters (Å, degrees): 3.473 3.473 7.078 90.00 90.00 90.00
Sites, in units of the cell vectors:
La 0.000 0.000 0.000
Y 0.000 0.000 0.500
W 0.500 0.500 0.216
W 0.500 0.500 0.784

Results
Energy of formation   1.08 eV/atom
Polymorph energy (0 for the lowest one)   194 kJ/mol of formula units
Total magnetization   0.0 Bohr magnetons per cell
E_tot   -51.501 eV/atom

***

First-principles (SCAN) data for a crystal of Cr2CoRu relaxed with PBEsol, as listed in Alexandria via LeMat-Bulk.

Lattice parameters (Å, degrees): 2.581 3.471 5.141 90.00 90.00 90.00
Sites, in units of the cell vectors:
Cr 0.000 0.000 0.000
Cr 0.500 0.500 0.265
Co 0.500 0.500 0.785
Ru 0.000 0.000 0.511

Results
Energy of formation   0.26 eV/atom
Total magnetization   0.0 Bohr magnetons per cell
E_tot   -21.969 eV/atom

***

First-principles (SCAN) data for a crystal of TaTi2Ga relaxed with PBEsol, as listed in Alexandria via LeMat-Bulk.

Lattice parameters (Å, degrees): 6.339 6.339 6.339 90.00 90.00 90.00
Sites, in units of the cell vectors:
Ta 0.000 0.000 0.000
Ta 0.000 0.500 0.500
Ta 0.500 0.000 0.500
Ta 0.500 0.500 0.000
Ti 0.250 0.250 0.250
Ti 0.250 0.250 0.750
Ti 0.250 0.750 0.250
Ti 0.250 0.750 0.750
Ti 0.750 0.250 0.250
Ti 0.750 0.250 0.750
Ti 0.750 0.750 0.250
Ti 0.750 0.750 0.750
Ga 0.000 0.000 0.500
Ga 0.000 0.500 0.000
Ga 0.500 0.000 0.000
Ga 0.500 0.500 0.500

Results
Energy of formation   -0.28 eV/atom
Total magnetization   0.0 Bohr magnetons per cell
E_tot   -29.032 eV/atom

***

First-principles (SCAN) data for a crystal of BeAgSb2 relaxed with PBEsol, as listed in Alexandria via LeMat-Bulk.

Lattice parameters (Å, degrees): 3.170 3.392 7.618 90.00 90.00 90.00
Sites, in units of the cell vectors:
Be 0.000 0.000 0.000
Ag 0.500 0.500 0.856
Sb 0.000 0.000 0.616
Sb 0.500 0.500 0.215

Results
Raw formation energy   1.12 eV per formula unit
Total magnetization   0.0 Bohr magnetons per cell
E_tot   -27.280 eV/atom

***

First-principles (SCAN) data for a crystal of AgPt2Au relaxed with PBEsol, as listed in Alexandria via LeMat-Bulk.

Lattice parameters (Å, degrees): 2.774 4.744 9.658 90.00 90.00 90.00
Sites, in units of the cell vectors:
Ag 0.000 0.000 0.000
Ag 0.500 0.500 0.000
Pt 0.000 0.500 0.248
Pt 0.000 0.500 0.752
Pt 0.500 0.000 0.248
Pt 0.500 0.000 0.752
Au 0.000 0.000 0.500
Au 0.500 0.500 0.500

Results
Energy of formation   0.02 eV/atom
Polymorph energy (0 for the lowest one)   8 kJ/mol of formula units
Total magnetization   0.0 Bohr magnetons per cell
E_tot   -60.207 eV/atom

***

First-principles (SCAN) data for a crystal of RbGeBr3 relaxed with PBEsol, as listed in Alexandria via LeMat-Bulk.

Lattice parameters (Å, degrees): 5.986 7.536 7.908 90.00 107.81 90.00
Sites, in units of the cell vectors:
Rb 0.191 0.250 0.316
Rb 0.809 0.750 0.684
Ge 0.463 0.250 0.919
Ge 0.537 0.750 0.081
Br 0.141 0.750 0.120
Br 0.318 0.503 0.701
Br 0.318 0.997 0.701
Br 0.682 0.003 0.299
Br 0.682 0.497 0.299
Br 0.859 0.250 0.880

Results
Raw formation energy   -5.72 eV per formula unit
Total magnetization   0.0 Bohr magnetons per cell
E_tot   -20.784 eV/atom

***

First-principles (SCAN) data for a crystal of GaPd2I relaxed with PBEsol, as listed in Alexandria via LeMat-Bulk.

Lattice parameters (Å, degrees): 6.590 6.590 6.590 90.00 90.00 90.00
Sites, in units of the cell vectors:
Ga 0.000 0.000 0.000
Ga 0.000 0.500 0.500
Ga 0.500 0.000 0.500
Ga 0.500 0.500 0.000
Pd 0.250 0.250 0.250
Pd 0.250 0.250 0.750
Pd 0.250 0.750 0.250
Pd 0.250 0.750 0.750
Pd 0.750 0.250 0.250
Pd 0.750 0.250 0.750
Pd 0.750 0.750 0.250
Pd 0.750 0.750 0.750
I 0.000 0.000 0.500
I 0.000 0.500 0.000
I 0.500 0.000 0.000
I 0.500 0.500 0.500

Results
Raw formation energy   0.37 eV per formula unit
Total magnetization   0.0 Bohr magnetons per cell
E_tot   -29.567 eV/atom